Below is crystalline Rb2TbScTe4 at its relaxed geometry, with properties calculated at the PBE level.

Structure (CIF):
```
data_Rb2TbScTe4
_chemical_formula_sum 'Rb2 Tb1 Sc1 Te4'
_cell_length_a 7.7013
_cell_length_b 4.4447
_cell_length_c 8.9000
_cell_angle_alpha 90.00
_cell_angle_beta 106.74
_cell_angle_gamma 90.00
_symmetry_space_group_name_H-M 'P 1 2/m 1'
_symmetry_Int_Tables_number 10
_symmetry_space_group_name_Hall '-P 2y'
loop_
_atom_site_label
_atom_site_fract_x
_atom_site_fract_y
_atom_site_fract_z
Rb1 0.0000 0.0000 0.0000
Rb2 0.5000 0.5000 0.0000
Tb1 0.0000 0.5000 0.5000
Sc1 0.5000 0.0000 0.5000
Te1 0.2434 0.0000 0.6973
Te2 0.2802 0.5000 0.3083
```

Results
Total moment   0.000 μB/atom
E_form (uncorrected)   -10.451 eV per formula unit